A plane-wave DFT calculation with PBE was carried out for crystalline BaLiBe2Pt at its relaxed geometry.

Values from the calculation:
Formation enthalpy at 0 K in eV per atom: 0.88
Space group: P4/mmm
Calculated volume in Å³ per atom: 22.0
Fermi-level density of states in states/eV/f.u.: 2.8
Energy relative to the lowest polymorph listed for this composition in meV per atom: 1092
Raw total energy in eV/atom: -2.58

Unit cell a=4.4564 b=5.5460 c=4.4564 alpha=90.00 beta=90.00 gamma=90.00
Fractional coordinates of all 5 atoms:
Be 0.0000 0.0000 0.5000
Be 0.5000 0.0000 0.0000
Ba 0.0000 0.5000 0.0000
Pt 0.5000 0.5000 0.5000
Li 0.0000 0.0000 0.0000



A plane-wave DFT calculation with PBE was carried out for crystalline BaLi2BePt at its relaxed geometry.

Values from the calculation:
Formation enthalpy at 0 K in eV per atom: -0.21
Space group: P4/mmm
Calculated volume in Å³ per atom: 22.1
Fermi-level density of states in states/eV/f.u.: 3.0
Energy relative to the lowest polymorph listed for this composition in meV per atom: 0
Raw total energy in eV/atom: -3.31

Unit cell a=4.9448 b=4.9448 c=4.5134 alpha=90.00 beta=90.00 gamma=90.00
Fractional coordinates of all 5 atoms:
Be 0.0000 0.0000 0.5000
Ba 0.5000 0.5000 0.5000
Pt 0.0000 0.0000 0.0000
Li 0.0000 0.5000 0.0000
Li 0.5000 0.0000 0.0000



A plane-wave DFT calculation with PBE was carried out for crystalline Ba2LiBePt2 at its relaxed geometry.

Values from the calculation:
Formation enthalpy at 0 K in eV per atom: -0.55
Space group: Ibam
Calculated volume in Å³ per atom: 25.4
Fermi-level density of states in states/eV/f.u.: 2.6
Raw total energy in eV/atom: -4.14

Unit cell a=6.2575 b=6.2628 c=8.9362 alpha=110.51 beta=110.49 gamma=90.00
Fractional coordinates of all 12 atoms:
Ba 0.4039 0.1568 0.3135
Ba 0.5961 0.8432 0.6865
Ba 0.0904 0.3432 0.6865
Ba 0.9096 0.6568 0.3135
Li 0.0000 0.7500 0.0000
Li 0.0000 0.2500 0.0000
Be 0.5000 0.7500 0.0000
Be 0.5000 0.2500 0.0000
Pt 0.7790 0.0735 0.1471
Pt 0.3681 0.5735 0.1471
Pt 0.6319 0.4265 0.8529
Pt 0.2210 0.9265 0.8529



A plane-wave DFT calculation with PBE was carried out for crystalline BaLi2BePt at its relaxed geometry.

Values from the calculation:
Formation enthalpy at 0 K in eV per atom: -0.19
Space group: P4/mmm
Calculated volume in Å³ per atom: 20.9
Fermi-level density of states in states/eV/f.u.: 2.4
Energy relative to the lowest polymorph listed for this composition in meV per atom: 20
Raw total energy in eV/atom: -3.29

Unit cell a=4.8117 b=4.8117 c=4.5077 alpha=90.00 beta=90.00 gamma=90.00
Fractional coordinates of all 5 atoms:
Be 0.0000 0.0000 0.0000
Ba 0.5000 0.5000 0.5000
Pt 0.0000 0.0000 0.5000
Li 0.0000 0.5000 0.0000
Li 0.5000 0.0000 0.0000



A plane-wave DFT calculation with PBE was carried out for crystalline BaLiBe2Pt at its relaxed geometry.

Values from the calculation:
Formation enthalpy at 0 K in eV per atom: -0.21
Space group: P4/mmm
Calculated volume in Å³ per atom: 20.0
Fermi-level density of states in states/eV/f.u.: 1.6
Energy relative to the lowest polymorph listed for this composition in meV per atom: 0
Raw total energy in eV/atom: -3.67

Unit cell a=4.4869 b=4.4869 c=4.9679 alpha=90.00 beta=90.00 gamma=90.00
Fractional coordinates of all 5 atoms:
Be 0.0000 0.5000 0.0000
Be 0.5000 0.0000 0.0000
Ba 0.5000 0.5000 0.5000
Pt 0.0000 0.0000 0.0000
Li 0.0000 0.0000 0.5000



A plane-wave DFT calculation with PBE was carried out for crystalline BaLiBeSi2 at its relaxed geometry.

Values from the calculation:
Space group: P4/mmm
Calculated volume in Å³ per atom: 23.4
Fermi-level density of states in states/eV/f.u.: 3.9
Raw total energy in eV/atom: -2.87
Raw formation energy in eV/atom: 0.8074

Unit cell a=4.6177 b=4.6177 c=5.4794 alpha=90.00 beta=90.00 gamma=90.00
Fractional coordinates of all 5 atoms:
Be 0.5000 0.5000 0.5000
Si 0.0000 0.5000 0.0000
Si 0.5000 0.0000 0.0000
Ba 0.0000 0.0000 0.5000
Li 0.0000 0.0000 0.0000



A plane-wave DFT calculation with PBE was carried out for crystalline BaLi2BeSn at its relaxed geometry.

Values from the calculation:
Formation enthalpy at 0 K in eV per atom: 0.35
Space group: P4/mmm
Calculated volume in Å³ per atom: 29.3
Fermi-level density of states in states/eV/f.u.: 5.1
Raw total energy in eV/atom: -2.35

Unit cell a=5.0328 b=5.7886 c=5.0328 alpha=90.00 beta=90.00 gamma=90.00
Fractional coordinates of all 5 atoms:
Be 0.0000 0.0000 0.0000
Li 0.0000 0.0000 0.5000
Li 0.5000 0.0000 0.0000
Ba 0.0000 0.5000 0.0000
Sn 0.5000 0.5000 0.5000



A plane-wave DFT calculation with PBE was carried out for crystalline BaLi2BeTl at its relaxed geometry.

Values from the calculation:
Formation enthalpy at 0 K in eV per atom: 1.14
Space group: P4/mmm
Calculated volume in Å³ per atom: 41.4
Fermi-level density of states in states/eV/f.u.: 4.5
Raw total energy in eV/atom: -1.23

Unit cell a=6.1698 b=5.4413 c=6.1698 alpha=90.00 beta=90.00 gamma=90.00
Fractional coordinates of all 5 atoms:
Be 0.0000 0.5000 0.0000
Tl 0.5000 0.5000 0.5000
Ba 0.0000 0.0000 0.0000
Li 0.0000 0.0000 0.5000
Li 0.5000 0.0000 0.0000



A plane-wave DFT calculation with PBE was carried out for crystalline BaMg2Be at its relaxed geometry.

Values from the calculation:
Formation enthalpy at 0 K in eV per atom: 0.33
Space group: P2/m
Calculated volume in Å³ per atom: 29.8
Fermi-level density of states in states/eV/f.u.: 2.7
Raw total energy in eV/atom: -1.88

Unit cell a=4.4733 b=5.0216 c=5.6580 alpha=69.63 beta=90.00 gamma=90.00
Fractional coordinates of all 4 atoms:
Be 0.5000 0.7500 0.7500
Mg 0.0000 0.9066 0.9216
Mg 0.0000 0.5934 0.5784
Ba 0.5000 0.2500 0.2500



A plane-wave DFT calculation with PBE was carried out for crystalline BaMg2Be at its relaxed geometry.

Values from the calculation:
Formation enthalpy at 0 K in eV per atom: 0.42
Space group: I4_1/amd
Calculated volume in Å³ per atom: 33.5
Fermi-level density of states in states/eV/f.u.: 0.7
Raw total energy in eV/atom: -1.79

Unit cell a=5.9223 b=5.9223 c=8.7086 alpha=70.12 beta=70.12 gamma=90.00
Fractional coordinates of all 8 atoms:
Be 0.5000 0.5000 0.0000
Be 0.2500 0.7500 0.5000
Mg 0.3748 0.1250 0.2500
Mg 0.3752 0.6250 0.2500
Mg 0.3750 0.6252 0.7500
Mg 0.8750 0.6248 0.7500
Ba 0.0000 0.0000 0.0000
Ba 0.7500 0.2500 0.5000



A plane-wave DFT calculation with PBE was carried out for crystalline BaMg3Be at its relaxed geometry.

Values from the calculation:
Formation enthalpy at 0 K in eV per atom: 1.54
Space group: Pm-3m
Calculated volume in Å³ per atom: 67.0
Fermi-level density of states in states/eV/f.u.: 7.5
Energy relative to the lowest polymorph listed for this composition in meV per atom: 1398
Raw total energy in eV/atom: -0.55

Unit cell a=6.9469 b=6.9469 c=6.9469 alpha=90.00 beta=90.00 gamma=90.00
Fractional coordinates of all 5 atoms:
Be 0.5000 0.5000 0.5000
Mg 0.0000 0.5000 0.0000
Mg 0.0000 0.0000 0.5000
Mg 0.5000 0.0000 0.0000
Ba 0.0000 0.0000 0.0000



A plane-wave DFT calculation with PBE was carried out for crystalline BaMg2Be at its relaxed geometry.

Values from the calculation:
Formation enthalpy at 0 K in eV per atom: 0.48
Space group: Pmmm
Calculated volume in Å³ per atom: 28.4
Fermi-level density of states in states/eV/f.u.: 3.2
Raw total energy in eV/atom: -1.73

Unit cell a=4.1378 b=4.9708 c=5.5173 alpha=90.00 beta=90.00 gamma=90.00
Fractional coordinates of all 4 atoms:
Be 0.0000 0.5000 0.5000
Mg 0.0000 0.0000 0.0000
Mg 0.5000 0.5000 0.0000
Ba 0.5000 0.0000 0.5000



A plane-wave DFT calculation with PBE was carried out for crystalline BaMg2Be at its relaxed geometry.

Values from the calculation:
Formation enthalpy at 0 K in eV per atom: 0.32
Space group: P4/mmm
Calculated volume in Å³ per atom: 24.8
Fermi-level density of states in states/eV/f.u.: 2.2
Raw total energy in eV/atom: -1.89

Unit cell a=3.3294 b=3.3294 c=8.9547 alpha=90.00 beta=90.00 gamma=90.01
Fractional coordinates of all 4 atoms:
Be 0.5000 0.5000 0.7500
Mg 0.0000 0.0000 0.9214
Mg 0.0000 0.0000 0.5786
Ba 0.5000 0.5000 0.2500



A plane-wave DFT calculation with PBE was carried out for crystalline BaMg2Be at its relaxed geometry.

Values from the calculation:
Formation enthalpy at 0 K in eV per atom: 0.32
Space group: Immm
Calculated volume in Å³ per atom: 26.5
Fermi-level density of states in states/eV/f.u.: 1.8
Raw total energy in eV/atom: -1.89

Unit cell a=6.3934 b=6.3934 c=6.3934 alpha=149.01 beta=127.31 gamma=62.39
Fractional coordinates of all 4 atoms:
Be 0.2500 0.7500 0.5000
Mg 0.0555 0.0555 0.0000
Mg 0.4445 0.4445 0.0000
Ba 0.7500 0.2500 0.5000



A plane-wave DFT calculation with PBE was carried out for crystalline BaMgBe4 at its relaxed geometry.

Values from the calculation:
Formation enthalpy at 0 K in eV per atom: 0.58
Space group: F-43m
Calculated volume in Å³ per atom: 16.3
Fermi-level density of states in states/eV/f.u.: 5.4
Raw total energy in eV/atom: -2.49

Unit cell a=5.1749 b=5.1749 c=5.1749 alpha=60.00 beta=60.00 gamma=60.00
Fractional coordinates of all 6 atoms:
Ba 0.0000 0.0000 0.0000
Mg 0.7500 0.7500 0.7500
Be 0.8432 0.3856 0.3856
Be 0.3856 0.3856 0.8432
Be 0.3856 0.8432 0.3856
Be 0.3856 0.3856 0.3856



A plane-wave DFT calculation with PBE was carried out for crystalline BaMg2Be at its relaxed geometry.

Values from the calculation:
Formation enthalpy at 0 K in eV per atom: 0.56
Space group: C2/m
Calculated volume in Å³ per atom: 27.7
Fermi-level density of states in states/eV/f.u.: 2.6
Raw total energy in eV/atom: -1.65

Unit cell a=5.5391 b=6.8163 c=3.3146 alpha=77.27 beta=86.78 gamma=113.12
Fractional coordinates of all 4 atoms:
Be 0.5000 0.5000 0.0000
Mg 0.0000 0.0000 0.0000
Mg 0.5000 0.0000 0.5000
Ba 0.0000 0.5000 0.5000



A plane-wave DFT calculation with PBE was carried out for crystalline BaMg2Be at its relaxed geometry.

Values from the calculation:
Formation enthalpy at 0 K in eV per atom: 0.24
Space group: R-3m
Calculated volume in Å³ per atom: 29.0
Fermi-level density of states in states/eV/f.u.: 3.0
Raw total energy in eV/atom: -1.97

Unit cell a=6.7855 b=6.7855 c=6.7855 alpha=39.97 beta=39.97 gamma=39.97
Fractional coordinates of all 4 atoms:
Be 0.7500 0.7500 0.7500
Mg 0.0532 0.0532 0.0532
Mg 0.4468 0.4468 0.4468
Ba 0.2500 0.2500 0.2500



A plane-wave DFT calculation with PBE was carried out for crystalline BaMg3Be at its relaxed geometry.

Values from the calculation:
Formation enthalpy at 0 K in eV per atom: 0.14
Space group: Pm-3m
Calculated volume in Å³ per atom: 26.0
Fermi-level density of states in states/eV/f.u.: 1.7
Energy relative to the lowest polymorph listed for this composition in meV per atom: 0
Raw total energy in eV/atom: -1.95

Unit cell a=5.0677 b=5.0677 c=5.0677 alpha=90.00 beta=90.00 gamma=90.00
Fractional coordinates of all 5 atoms:
Be 0.0000 0.0000 0.0000
Mg 0.0000 0.5000 0.0000
Mg 0.0000 0.0000 0.5000
Mg 0.5000 0.0000 0.0000
Ba 0.5000 0.5000 0.5000



A plane-wave DFT calculation with PBE was carried out for crystalline BaMg2Be at its relaxed geometry.

Values from the calculation:
Formation enthalpy at 0 K in eV per atom: 0.27
Space group: Amm2
Calculated volume in Å³ per atom: 29.4
Fermi-level density of states in states/eV/f.u.: 2.5
Raw total energy in eV/atom: -1.94

Unit cell a=4.5280 b=3.9893 c=6.8006 alpha=72.91 beta=90.00 gamma=90.00
Fractional coordinates of all 4 atoms:
Be 0.5000 0.9001 0.8242
Mg 0.0000 0.8080 0.0103
Mg 0.5000 0.2601 0.1046
Ba 0.0000 0.5317 0.5608



A plane-wave DFT calculation with PBE was carried out for crystalline BaMg2Be at its relaxed geometry.

Values from the calculation:
Formation enthalpy at 0 K in eV per atom: 0.66
Space group: Cmmm
Calculated volume in Å³ per atom: 28.9
Fermi-level density of states in states/eV/f.u.: 2.6
Raw total energy in eV/atom: -1.55

Unit cell a=5.9385 b=5.9385 c=3.5445 alpha=90.00 beta=90.00 gamma=112.55
Fractional coordinates of all 4 atoms:
Be 0.0000 0.5000 0.5000
Mg 0.0000 0.0000 0.0000
Mg 0.5000 0.5000 0.0000
Ba 0.5000 0.0000 0.5000